First-principles (PBE) data for a relaxed CoSnRu3 crystal, as listed in Alexandria via LeMat-Bulk.

```
CoSnRu3
1.0
4.4811 0.0000 0.0000
0.0000 4.4811 0.0000
0.0000 0.0000 4.4811
Sn Ru Co
1 3 1
direct
0.5000 0.5000 0.5000
0.0000 0.5000 0.0000
0.5000 0.0000 0.0000
0.0000 0.0000 0.5000
0.0000 0.0000 0.0000
```

## Properties
Energy relative to the elements in eV per formula unit: 5.527
Space-group type: Pm-3m (221)
E in eV per atom: -6.68

---

First-principles (PBE) data for a relaxed KPb4 crystal, as listed in Alexandria via LeMat-Bulk.

```
KPb4
1.0
5.1670 0.0000 0.0000
0.0000 5.1670 0.0000
-2.5835 -2.5835 7.0803
Pb K
4 1
direct
0.6119 0.6119 0.2239
0.2500 0.7500 0.5000
0.3881 0.3881 0.7761
0.7500 0.2500 0.5000
0.0000 0.0000 0.0000
```

## Properties
Energy relative to the elements in eV per formula unit: -0.366
Space-group type: I4/mmm (139)
Polymorph energy (0 for the lowest one) in eV/atom: 0.000
E in eV per atom: -3.26

---

First-principles (PBE) data for a relaxed LaMo2Br crystal, as listed in Alexandria via LeMat-Bulk.

```
LaMo2Br
1.0
5.7382 -0.0076 0.0000
-3.0913 4.8344 0.0000
0.0000 0.0000 3.0702
Mo Br La
2 1 1
direct
0.5000 0.5000 0.0000
0.0000 0.0000 0.0000
0.5000 0.0000 0.5000
0.0000 0.5000 0.5000
```

## Properties
Space-group type: Cmmm (65)
Polymorph energy (0 for the lowest one) in eV/atom: 0.851
E in eV per atom: -6.25

---

First-principles (PBE) data for a relaxed SmAl2GaNi2 crystal, as listed in Alexandria via LeMat-Bulk.

```
SmAl2GaNi2
1.0
4.3753 0.0000 0.0000
0.0000 4.3753 0.0000
0.0000 0.0000 5.6324
Ni Al Sm Ga
2 2 1 1
direct
0.0000 0.5000 0.0000
0.5000 0.0000 0.0000
0.5000 0.5000 0.2493
0.5000 0.5000 0.7507
0.0000 0.0000 0.5000
0.0000 0.0000 0.0000
```

## Properties
Energy relative to the elements in eV per formula unit: -1.998
Space-group type: P4/mmm (123)
E in eV per atom: -4.80